Entry 1:
Computed, not measured: an optimized crystal structure of Cu2MoS3 at the PBE level of DFT.

a b c (Å): 9.2368 9.2368 6.5621
angles (deg): 92.36 92.36 21.12
Last column: nearest neighbours and their distance in Å.
Atoms (fractional coordinates):
S 0.9089 0.9089 0.6393  2 Cu 2.31-2.32, 2 Mo 2.45
S 0.4186 0.4186 0.1314  3 Cu 2.23-2.26, 1 Mo 2.38
S 0.0911 0.0911 0.3607  2 Cu 2.31-2.32, 2 Mo 2.45
S 0.2466 0.2466 0.7074  1 Cu 2.25, 2 Mo 2.52
Cu 0.0364 0.0364 0.6714  4 S 2.26-2.32
Mo 0.6538 0.6538 0.5740  6 S 2.38-2.64
Cu 0.6997 0.6997 0.9766  2 S 2.23-2.25, 2 Cu 2.50
Mo 0.3462 0.3462 0.4260  6 S 2.38-2.64
S 0.7534 0.7534 0.2926  1 Cu 2.25, 2 Mo 2.52
S 0.5814 0.5814 0.8686  3 Cu 2.23-2.26, 1 Mo 2.38
Cu 0.3003 0.3003 0.0234  2 S 2.23-2.25, 2 Cu 2.50
Cu 0.9636 0.9636 0.3286  4 S 2.26-2.32

Results
- total magnetic moment (μB per formula unit) = 0.59
- E (eV/atom) = -5.41


Entry 2:
Computed, not measured: an optimized crystal structure of Cu3MoSe2S2 at the PBE level of DFT.

a b c (Å): 6.6049 6.6049 5.4530
angles (deg): 114.00 114.00 48.67
Last column: nearest neighbours and their distance in Å.
Atoms (fractional coordinates):
S 0.8745 0.3741 0.8770  3 Cu 2.28-2.29, 1 Mo 2.28
Se 0.3722 0.8791 0.3744  1 Mo 2.40, 3 Cu 2.43-2.44
S 0.6259 0.1255 0.1230  3 Cu 2.28-2.29, 1 Mo 2.28
Mo 0.9828 0.0172 0.0000  2 S 2.28, 2 Se 2.40
Cu 0.5249 0.4751 0.5000  2 S 2.29, 2 Se 2.44
Cu 0.7495 0.7507 0.2249  2 S 2.28, 2 Se 2.43
Cu 0.2493 0.2505 0.7751  2 S 2.28, 2 Se 2.43
Se 0.1209 0.6278 0.6256  1 Mo 2.40, 3 Cu 2.43-2.44

Results
- total magnetic moment (μB per formula unit) = 0.68
- E (eV/atom) = -4.91


Entry 3:
Computed, not measured: an optimized crystal structure of TlCuMoSeS2 at the PBE level of DFT.

a b c (Å): 7.7953 7.7953 9.6637
angles (deg): 90.00 90.00 154.65
Last column: nearest neighbours and their distance in Å.
Atoms (fractional coordinates):
Tl 0.2436 0.7564 0.7500  6 S 3.27-3.59, 2 Se 3.28, 2 Tl 3.42, 2 Cu 3.49
S 0.6140 0.3860 0.5464  1 Cu 2.24, 2 Mo 2.48
Se 0.9279 0.0721 0.7500  2 Cu 2.45, 2 Mo 2.65
Cu 0.5435 0.4565 0.7500  2 S 2.24, 2 Se 2.45
Mo 0.0000 0.0000 0.0000  4 S 2.48, 2 Se 2.65
S 0.6140 0.3860 0.9536  1 Cu 2.24, 2 Mo 2.48
S 0.3860 0.6140 0.4536  1 Cu 2.24, 2 Mo 2.48
S 0.3860 0.6140 0.0464  1 Cu 2.24, 2 Mo 2.48
Mo 0.0000 0.0000 0.5000  4 S 2.48, 2 Se 2.65
Tl 0.7564 0.2436 0.2500  6 S 3.27-3.59, 2 Se 3.28, 2 Tl 3.42, 2 Cu 3.49
Cu 0.4565 0.5435 0.2500  2 S 2.24, 2 Se 2.45
Se 0.0721 0.9279 0.2500  2 Cu 2.45, 2 Mo 2.65

Results
- total magnetic moment (μB per formula unit) = 0.91
- E (eV/atom) = -5.10


Entry 4:
Computed, not measured: an optimized crystal structure of TlCuTe2MoS at the PBE level of DFT.

a b c (Å): 7.9979 7.9979 9.7348
angles (deg): 90.00 90.00 152.10
Last column: nearest neighbours and their distance in Å.
Atoms (fractional coordinates):
Tl 0.7297 0.2703 0.2500  2 S 3.30, 6 Te 3.30-3.52
Te 0.3712 0.6288 0.4516  1 Cu 2.57, 2 Mo 2.82
S 0.0574 0.9426 0.2500  2 Cu 2.28
Te 0.3712 0.6288 0.0484  1 Cu 2.57, 2 Mo 2.82
Te 0.6288 0.3712 0.5484  1 Cu 2.57, 2 Mo 2.82
Tl 0.2703 0.7297 0.7500  2 S 3.30, 6 Te 3.30-3.52
Cu 0.5214 0.4786 0.7500  2 S 2.28
Mo 0.0000 0.0000 0.5000  2 S 2.59, 4 Te 2.82
Mo 0.0000 0.0000 0.0000  2 S 2.59, 4 Te 2.82
S 0.9426 0.0574 0.7500  2 Cu 2.28
Cu 0.4786 0.5214 0.2500  2 S 2.28
Te 0.6288 0.3712 0.9516  1 Cu 2.57, 2 Mo 2.82

Results
- total magnetic moment (μB per formula unit) = 1.91
- E (eV/atom) = -4.69


Entry 5:
Computed, not measured: an optimized crystal structure of TlCu3MoS4 at the PBE level of DFT.

a b c (Å): 5.8607 5.8607 5.8607
angles (deg): 90.00 90.00 90.00
Last column: nearest neighbours and their distance in Å.
Atoms (fractional coordinates):
S 0.2755 0.2755 0.2755  1 Mo 2.28, 3 Cu 2.46
S 0.7245 0.7245 0.2755  1 Mo 2.28, 3 Cu 2.46
Cu 0.5000 0.5000 0.0000  4 S 2.46
S 0.2755 0.7245 0.7245  1 Mo 2.28, 3 Cu 2.46
Cu 0.5000 0.0000 0.5000  4 S 2.46
Mo 0.5000 0.5000 0.5000  4 S 2.28
S 0.7245 0.2755 0.7245  1 Mo 2.28, 3 Cu 2.46
Tl 0.0000 0.0000 0.0000  4 S 2.80
Cu 0.0000 0.5000 0.5000  4 S 2.46

Results
- total magnetic moment (μB per formula unit) = 1.99
- E (eV/atom) = -4.72


Entry 6:
Computed, not measured: an optimized crystal structure of CuSb5Mo3 at the PBE level of DFT.

a b c (Å): 5.5220 5.5220 8.2772
angles (deg): 90.00 90.00 120.00
Last column: nearest neighbours and their distance in Å.
Atoms (fractional coordinates):
Cu 0.0000 0.0000 0.0000  12 Sb 3.63
Sb 0.3333 0.6667 0.7904  3 Mo 2.88, 3 Sb 3.19
Sb 0.3333 0.6667 0.2096  3 Mo 2.88, 3 Sb 3.19
Sb 0.6667 0.3333 0.7904  3 Mo 2.88, 3 Sb 3.19
Sb 0.6667 0.3333 0.2096  3 Mo 2.88, 3 Sb 3.19
Mo 0.5000 0.5000 0.5000  4 Mo 2.76, 6 Sb 2.76-2.88
Mo 0.0000 0.5000 0.5000  4 Mo 2.76, 6 Sb 2.76-2.88
Sb 0.0000 0.0000 0.5000  6 Mo 2.76
Mo 0.5000 0.0000 0.5000  6 Sb 2.76-2.88, 4 Mo 2.76

Results
- total magnetic moment (μB per formula unit) = 0.01
- E (eV/atom) = -6.01


Entry 7:
Computed, not measured: an optimized crystal structure of CuTcSbMo at the PBE level of DFT.

a b c (Å): 4.4655 4.4655 4.4655
angles (deg): 60.00 60.00 60.00
Last column: nearest neighbours and their distance in Å.
Atoms (fractional coordinates):
Sb 0.0000 0.0000 0.0000  4 Cu 2.73, 4 Tc 2.73
Tc 0.2500 0.2500 0.2500  4 Mo 2.73, 4 Sb 2.73
Mo 0.5000 0.5000 0.5000  4 Tc 2.73, 4 Cu 2.73
Cu 0.7500 0.7500 0.7500  4 Sb 2.73, 4 Mo 2.73

Results
- energy relative to the lowest polymorph listed for this composition (meV/atom) = 0
- total magnetic moment (μB per formula unit) = 0.02
- E (eV/atom) = -6.97


Entry 8:
Computed, not measured: an optimized crystal structure of CuSbTeMo at the PBE level of DFT.

a b c (Å): 4.7817 4.7817 4.7817
angles (deg): 60.00 60.00 60.00
Last column: nearest neighbours and their distance in Å.
Atoms (fractional coordinates):
Sb 0.0000 0.0000 0.0000  4 Mo 2.93, 4 Cu 2.93
Te 0.5000 0.5000 0.5000  4 Mo 2.93, 4 Cu 2.93
Mo 0.2500 0.2500 0.2500  4 Sb 2.93, 4 Te 2.93
Cu 0.7500 0.7500 0.7500  4 Sb 2.93, 4 Te 2.93

Results
- energy relative to the lowest polymorph listed for this composition (meV/atom) = 0
- total magnetic moment (μB per formula unit) = 1.12
- E (eV/atom) = -5.00


Entry 9:
Computed, not measured: an optimized crystal structure of CuSbMoW at the PBE level of DFT.

a b c (Å): 4.4950 4.4950 4.4950
angles (deg): 60.00 60.00 60.00
Last column: nearest neighbours and their distance in Å.
Atoms (fractional coordinates):
W 0.5000 0.5000 0.5000  4 Sb 2.75, 4 Cu 2.75
Sb 0.2500 0.2500 0.2500  4 W 2.75, 4 Mo 2.75
Cu 0.7500 0.7500 0.7500  4 Mo 2.75, 4 W 2.75
Mo 0.0000 0.0000 0.0000  4 Sb 2.75, 4 Cu 2.75

Results
- energy relative to the lowest polymorph listed for this composition (meV/atom) = 83
- total magnetic moment (μB per formula unit) = 0.00
- E (eV/atom) = -7.35


Entry 10:
Computed, not measured: an optimized crystal structure of CuSbMoW at the PBE level of DFT.

a b c (Å): 4.5150 4.5150 4.5150
angles (deg): 60.00 60.00 60.00
Last column: nearest neighbours and their distance in Å.
Atoms (fractional coordinates):
Mo 0.2500 0.2500 0.2500  4 W 2.76, 4 Sb 2.76
W 0.5000 0.5000 0.5000  4 Cu 2.76, 4 Mo 2.76
Cu 0.7500 0.7500 0.7500  4 Sb 2.76, 4 W 2.76
Sb 0.0000 0.0000 0.0000  4 Cu 2.76, 4 Mo 2.76

Results
- energy relative to the lowest polymorph listed for this composition (meV/atom) = 0
- total magnetic moment (μB per formula unit) = 0.00
- E (eV/atom) = -7.43


Entry 11:
Computed, not measured: an optimized crystal structure of YCuSbMo at the PBE level of DFT.

a b c (Å): 4.8360 4.8360 4.8360
angles (deg): 60.00 60.00 60.00
Last column: nearest neighbours and their distance in Å.
Atoms (fractional coordinates):
Cu 0.7500 0.7500 0.7500  4 Mo 2.96, 4 Sb 2.96
Sb 0.0000 0.0000 0.0000  4 Y 2.96, 4 Cu 2.96
Y 0.2500 0.2500 0.2500  4 Mo 2.96, 4 Sb 2.96
Mo 0.5000 0.5000 0.5000  4 Y 2.96, 4 Cu 2.96

Results
- energy relative to the lowest polymorph listed for this composition (meV/atom) = 326
- total magnetic moment (μB per formula unit) = 0.74
- E (eV/atom) = -5.75


Entry 12:
Computed, not measured: an optimized crystal structure of YCuSbMo at the PBE level of DFT.

a b c (Å): 4.7491 4.7491 4.7491
angles (deg): 60.00 60.00 60.00
Last column: nearest neighbours and their distance in Å.
Atoms (fractional coordinates):
Sb 0.0000 0.0000 0.0000  4 Mo 2.91, 4 Cu 2.91
Y 0.5000 0.5000 0.5000  4 Cu 2.91, 4 Mo 2.91
Cu 0.7500 0.7500 0.7500  4 Y 2.91, 4 Sb 2.91
Mo 0.2500 0.2500 0.2500  4 Sb 2.91, 4 Y 2.91

Results
- energy relative to the lowest polymorph listed for this composition (meV/atom) = 0
- total magnetic moment (μB per formula unit) = 0.00
- E (eV/atom) = -6.08


Number 11 is which compound? YCuSbMo


What is the total magnetic moment in the ninth record? 0.00 μB per formula unit


Which of these has the highest E? TlCuTe2MoS


Among the records above, which one has the highest E? TlCuTe2MoS